Mg8Ta: optimized geometry, PBE-GGA.

* total magnetization: 0.000 Bohr magnetons per cell
* V: 193.76 Å³ per cell
* distance to the lowest polymorph of the same formula: 0.00 eV per formula unit
* calculated total energy: -2.5687 eV/atom
* SG: No. 139

Unit cell a=7.843 b=7.843 c=7.843 alpha=92.53 beta=92.53 gamma=155.75
Fractional positions:
Mg 0.327 0.000 0.327
Mg 0.673 0.000 0.673
Mg 0.000 0.673 0.673
Mg 0.339 0.661 0.000
Mg 0.661 0.661 0.321
Mg 0.000 0.327 0.327
Mg 0.339 0.339 0.679
Mg 0.661 0.339 0.000
Ta 0.000 0.000 0.000